No. 1
A relaxed CrOs2Ru crystal. Source: Alexandria, functional PBE.

Values from the calculation:
E above lowest polymorph = 18 kJ/mol of formula units
Formation enthalpy at 0 K = 113 meV per atom
Size of the total moment = 0.006 μB/f.u.

Unit cell a=4.6467 b=4.6467 c=4.6561 alpha=99.89 beta=99.89 gamma=33.71
Last column: nearest neighbours and their distance in Å.
Fractional positions:
1 Cr 0.0000 0.0000 0.0000  6 Os 2.65-2.70, 4 Ru 2.69, 2 Cr 2.69
2 Os 0.2531 0.2531 0.7568  6 Os 2.64-2.74, 3 Cr 2.65-2.70, 3 Ru 2.68-2.71
3 Os 0.7469 0.7469 0.2432  6 Os 2.64-2.74, 3 Cr 2.65-2.70, 3 Ru 2.68-2.71
4 Ru 0.5000 0.5000 0.5000  6 Os 2.68-2.71, 4 Cr 2.69, 2 Ru 2.69

=====

No. 2
A relaxed Th6Ir2OsAu3 crystal. Source: Alexandria, functional PBE.

Values from the calculation:
Formation enthalpy at 0 K = -735 meV per atom
Size of the total moment = 0.000 μB/f.u.

Unit cell a=9.6503 b=9.6503 c=8.7017 alpha=106.94 beta=106.94 gamma=24.79
Last column: nearest neighbours and their distance in Å.
Fractional positions:
1 Th 0.0052 0.0052 0.2296  2 Os 2.86, 1 Ir 2.91, 3 Au 3.16
2 Th 0.3265 0.3265 0.4312  3 Ir 2.87, 3 Au 3.13-3.14
3 Th 0.3421 0.3421 0.9005  1 Os 2.84, 2 Ir 2.89, 3 Au 3.14-3.15
4 Th 0.6579 0.6579 0.0995  1 Os 2.84, 2 Ir 2.89, 3 Au 3.14-3.15
5 Th 0.6735 0.6735 0.5688  3 Ir 2.87, 3 Au 3.13-3.14
6 Th 0.9948 0.9948 0.7704  2 Os 2.86, 1 Ir 2.91, 3 Au 3.16
7 Ir 0.1669 0.1669 0.3364  6 Th 2.87-2.91
8 Ir 0.8331 0.8331 0.6636  6 Th 2.87-2.91
9 Os 0.5000 0.5000 0.0000  6 Th 2.84-2.86
10 Au 0.1687 0.1687 0.8356  6 Th 3.13-3.16
11 Au 0.5000 0.5000 0.5000  6 Th 3.14-3.16
12 Au 0.8313 0.8313 0.1644  6 Th 3.13-3.16

=====

No. 3
A relaxed TbDy4Hg crystal. Source: Alexandria, functional PBE.

Values from the calculation:
E above lowest polymorph = 56 kJ/mol of formula units
Formation enthalpy at 0 K = -46 meV per atom
Size of the total moment = 0.000 μB/f.u.

Unit cell a=8.1980 b=8.1980 c=6.3502 alpha=99.90 beta=99.90 gamma=115.81
Last column: nearest neighbours and their distance in Å.
Fractional positions:
1 Tb 0.0933 0.9067 0.7500  10 Dy 3.46-3.83
2 Tb 0.9067 0.0933 0.2500  10 Dy 3.46-3.83
3 Dy 0.0988 0.3370 0.8757  2 Hg 3.26-3.27, 4 Dy 3.29-3.63, 2 Tb 3.46-3.51
4 Dy 0.2126 0.5895 0.4550  2 Hg 3.16-3.17, 3 Dy 3.29-3.35, 1 Tb 3.52
5 Dy 0.3370 0.0988 0.3757  2 Hg 3.26-3.27, 4 Dy 3.29-3.63, 2 Tb 3.46-3.51
6 Dy 0.4105 0.7874 0.0450  2 Hg 3.16-3.17, 3 Dy 3.29-3.35, 1 Tb 3.52
7 Dy 0.5895 0.2126 0.9550  2 Hg 3.16-3.17, 3 Dy 3.29-3.35, 1 Tb 3.52
8 Dy 0.6630 0.9012 0.6243  2 Hg 3.26-3.27, 4 Dy 3.29-3.63, 2 Tb 3.46-3.51
9 Dy 0.7874 0.4105 0.5450  2 Hg 3.16-3.17, 3 Dy 3.29-3.35, 1 Tb 3.52
10 Dy 0.9012 0.6630 0.1243  2 Hg 3.26-3.27, 4 Dy 3.29-3.63, 2 Tb 3.46-3.51
11 Hg 0.4993 0.5007 0.7500  8 Dy 3.16-3.27, 2 Hg 3.18
12 Hg 0.5007 0.4993 0.2500  8 Dy 3.16-3.27, 2 Hg 3.18